# TlTcSe2 (PBEsol, relaxed)
data_TlTcSe2
_cell_length_a 5.938
_cell_length_b 3.262
_cell_length_c 9.564
_cell_angle_alpha 90.00
_cell_angle_beta 101.19
_cell_angle_gamma 90.00
_space_group_name_H-M_alt 'P 1 21 1'
_space_group_IT_number 4
loop_
_space_group_symop_operation_xyz
'x,y,z'
'-x,y+1/2,-z'
loop_
_atom_site_label
_atom_site_fract_x
_atom_site_fract_y
_atom_site_fract_z
_atom_site_occupancy
Tl1 0.239 0.000 0.468 1
Tc1 0.303 0.514 0.998 1
Se1 0.116 0.014 0.140 1
Se2 0.366 0.015 0.812 1
# Crystal system: monoclinic
# Total DFT energy (no corrections) in Ry/atom: -0.4215
# Total magnetization in μB/cell: 0.00
# ΔE_f (raw) in eV per atom: -0.34